# 1
Density functional theory data (meta-GGA SCAN) for a crystal of Nb4B20Mo11 relaxed with PBEsol.

Cell: 3.084 3.173 69.300 Å, 90.00 90.00 90.00°
Space group Immm (No. 71)
Inequivalent atoms, fractional coordinates:
Nb  0.000  0.000  0.100 [4 per cell]
Nb  0.000  0.000  0.300 [4 per cell]
B  0.000  0.000  0.013 [4 per cell]
B  0.000  0.000  0.187 [4 per cell]
B  0.000  0.000  0.213 [4 per cell]
B  0.000  0.000  0.387 [4 per cell]
B  0.000  0.000  0.414 [4 per cell]
B  0.000  0.500  0.072 [4 per cell]
B  0.000  0.500  0.127 [4 per cell]
B  0.000  0.500  0.273 [4 per cell]
B  0.000  0.500  0.327 [4 per cell]
B  0.000  0.500  0.473 [4 per cell]
Mo  0.000  0.000  0.500 [2 per cell]
Mo  0.000  0.500  0.036 [4 per cell]
Mo  0.000  0.500  0.163 [4 per cell]
Mo  0.000  0.500  0.237 [4 per cell]
Mo  0.000  0.500  0.363 [4 per cell]
Mo  0.000  0.500  0.438 [4 per cell]

Output
Energy relative to the elements, eV per formula unit: -18.5
Calculated density, Mg/m³: 8.05
Total magnetization, μB/f.u.: 0.00

# 2
Density functional theory data (meta-GGA SCAN) for a crystal of NbBMoOs2 relaxed with PBEsol.

Cell: 4.052 4.052 4.246 Å, 90.00 90.00 90.00°
Space group P4/mmm (No. 123)
Inequivalent atoms, fractional coordinates:
Nb  0.000  0.000  0.000 [1 per cell]
B  0.000  0.000  0.500 [1 per cell]
Mo  0.500  0.500  0.000 [1 per cell]
Os  0.000  0.500  0.500 [2 per cell]

Output
Energy relative to the elements, eV per formula unit: 0.3
Calculated density, Mg/m³: 13.82
Total magnetization, μB/f.u.: 0.00

# 3
Density functional theory data (meta-GGA SCAN) for a crystal of NbBMoS2 relaxed with PBEsol.

Cell: 4.711 4.711 4.242 Å, 90.00 90.00 90.00°
Space group P4/mmm (No. 123)
Inequivalent atoms, fractional coordinates:
Nb  0.000  0.000  0.000 [1 per cell]
B  0.000  0.000  0.500 [1 per cell]
Mo  0.500  0.500  0.500 [1 per cell]
S  0.000  0.500  0.000 [2 per cell]

Output
Formation energy without anion corrections, eV per atom: 0.88
Calculated density, Mg/m³: 4.65
Total magnetization, μB/f.u.: 4.19

# 4
Density functional theory data (meta-GGA SCAN) for a crystal of NdBMoO6 relaxed with PBEsol.

Cell: 10.133 4.132 11.898 Å, 90.00 117.16 90.00°
Space group P2_1/c (No. 14)
Inequivalent atoms, fractional coordinates:
Nd  0.195  0.197  0.030 [4 per cell]
B  0.005  0.669  0.810 [4 per cell]
Mo  0.353  0.707  0.814 [4 per cell]
O  0.001  0.723  0.414 [4 per cell]
O  0.034  0.160  0.303 [4 per cell]
O  0.257  0.706  0.405 [4 per cell]
O  0.259  0.703  0.146 [4 per cell]
O  0.336  0.215  0.297 [4 per cell]
O  0.457  0.218  0.106 [4 per cell]

Output
Formation energy without anion corrections, eV per atom: -2.82
Calculated density, Mg/m³: 5.20
Total magnetization, μB/f.u.: 0.00

# 5
Density functional theory data (meta-GGA SCAN) for a crystal of NiBMoOs2 relaxed with PBEsol.

Cell: 4.613 4.613 4.007 Å, 90.00 90.00 90.00°
Space group P4/mmm (No. 123)
Inequivalent atoms, fractional coordinates:
Ni  0.000  0.000  0.000 [1 per cell]
B  0.500  0.500  0.000 [1 per cell]
Mo  0.500  0.500  0.500 [1 per cell]
Os  0.000  0.500  0.500 [2 per cell]

Output
Energy relative to the elements, eV per formula unit: 11.7
Calculated density, Mg/m³: 10.63
Total magnetization, μB/f.u.: 2.54

# 6
Density functional theory data (meta-GGA SCAN) for a crystal of BMoO2 relaxed with PBEsol.

Cell: 2.5499 2.5499 17.8983 Å, 90.00 90.00 120.00°
Space group R-3m (No. 166, hexagonal axes)
Inequivalent atoms, fractional coordinates:
B  0.0000  0.0000  0.0000 [3 per cell]
Mo  0.0000  0.0000  0.5000 [3 per cell]
O  0.0000  0.0000  0.3823 [6 per cell]

Output
Formation energy without anion corrections, eV per atom: -1.08
Calculated density, Mg/m³: 6.86
Total magnetization, μB/f.u.: 0.00

# 7
Density functional theory data (meta-GGA SCAN) for a crystal of B2MoO relaxed with PBEsol.

Cell: 4.921 4.921 6.032 Å, 90.00 90.00 90.00°
Space group I-42d (No. 122)
Inequivalent atoms, fractional coordinates:
B  0.146  0.750  0.125 [8 per cell]
Mo  0.000  0.000  0.500 [4 per cell]
O  0.000  0.000  0.000 [4 per cell]

Output
Formation energy without anion corrections, eV per atom: 0.21
Calculated density, Mg/m³: 6.07
Total magnetization, μB/f.u.: 0.00

# 8
Density functional theory data (meta-GGA SCAN) for a crystal of Pr2B2MoO9 relaxed with PBEsol.

Cell: 5.283 7.011 10.522 Å, 74.63 76.25 73.25°
Space group P-1 (No. 2)
Inequivalent atoms, fractional coordinates:
Pr  0.130  0.421  0.315 [2 per cell]
Pr  0.345  0.296  0.953 [2 per cell]
B  0.041  0.910  0.137 [2 per cell]
B  0.239  0.749  0.842 [2 per cell]
Mo  0.466  0.791  0.419 [2 per cell]
O  0.023  0.715  0.144 [2 per cell]
O  0.044  0.644  0.860 [2 per cell]
O  0.191  0.318  0.557 [2 per cell]
O  0.191  0.959  0.811 [2 per cell]
O  0.266  0.975  0.073 [2 per cell]
O  0.268  0.707  0.571 [2 per cell]
O  0.356  0.057  0.379 [2 per cell]
O  0.418  0.675  0.298 [2 per cell]
O  0.492  0.635  0.865 [2 per cell]

Output
Formation energy without anion corrections, eV per atom: -3.01
Calculated density, Mg/m³: 5.09
Total magnetization, μB/f.u.: 0.00

> The lowest calculated density belongs to which entry?

NbBMoS2